1.
DFT (PBE) results for a relaxed structure of LiHoSc2Pt4.

The volume is 17.96 Å³ per atom. Its space-group type is R-3m. The calculation puts the total energy at -6.501 eV per atom. The spin magnetization is 0.000 μB per formula unit.

Cell lengths 8.240, 8.240, 8.240 Å; angles 32.51, 32.51, 32.51 degrees
Fractional positions:
Li 0.000 0.000 0.000
Ho 0.500 0.500 0.500
Sc 0.259 0.259 0.259
Sc 0.741 0.741 0.741
Pt 0.115 0.115 0.115
Pt 0.376 0.376 0.376
Pt 0.624 0.624 0.624
Pt 0.885 0.885 0.885

***

2.
DFT (PBE) results for a relaxed structure of Co2Ni2Hg.

The volume is 13.19 Å³ per atom. Its space-group type is P4/mbm. For the relative energy among the computed polymorphs, the calculation gives 6.2 meV/atom. The spin magnetization is 4.746 μB per formula unit.

Cell lengths 7.051, 7.051, 2.653 Å; angles 90.00, 90.00, 90.00 degrees
Fractional positions:
Co 0.169 0.331 0.000
Co 0.331 0.831 0.000
Co 0.669 0.169 0.000
Co 0.831 0.669 0.000
Ni 0.122 0.622 0.500
Ni 0.378 0.122 0.500
Ni 0.622 0.878 0.500
Ni 0.878 0.378 0.500
Hg 0.000 0.000 0.500
Hg 0.500 0.500 0.500

***

3.
DFT (PBE) results for a relaxed structure of Ba2Al4Si3Pt.

The volume is 21.61 Å³ per atom. Its space-group type is P-4m2. The value obtained for the uncorrected formation energy is -410.8 meV per atom. The spin magnetization is 0.000 μB per formula unit.

Cell lengths 4.507, 4.507, 10.637 Å; angles 90.00, 90.00, 90.00 degrees
Fractional positions:
Ba 0.000 0.500 0.247
Ba 0.500 0.000 0.753
Al 0.000 0.000 0.500
Al 0.000 0.500 0.885
Al 0.500 0.000 0.115
Al 0.500 0.500 0.500
Si 0.000 0.000 0.000
Si 0.000 0.500 0.626
Si 0.500 0.000 0.374
Pt 0.500 0.500 0.000

***

4.
DFT (PBE) results for a relaxed structure of La3Tb5Pm4.

The volume is 34.08 Å³ per atom. Its space-group type is P-1. For the relative energy among the computed polymorphs, the calculation gives 0.0 meV/atom. The spin magnetization is 0.000 μB per formula unit.

Cell lengths 6.299, 7.272, 8.928 Å; angles 89.86, 89.89, 89.89 degrees
Fractional positions:
La 0.000 0.000 0.000
La 0.168 0.250 0.332
La 0.832 0.750 0.668
Tb 0.000 0.500 0.000
Tb 0.335 0.000 0.668
Tb 0.498 0.749 0.000
Tb 0.502 0.251 0.000
Tb 0.665 0.000 0.332
Pm 0.170 0.750 0.332
Pm 0.331 0.499 0.669
Pm 0.669 0.501 0.331
Pm 0.830 0.250 0.668

***

5.
DFT (PBE) results for a relaxed structure of ZnP2O10.

The volume is 16.54 Å³ per atom. Its space-group type is P2_1/c. The value obtained for the uncorrected formation energy is -1130.7 meV per atom. The spin magnetization is 4.017 μB per formula unit.

Cell lengths 6.260, 9.785, 8.272 Å; angles 90.00, 121.91, 90.00 degrees
Fractional positions:
Zn 0.000 0.000 0.000
Zn 0.000 0.500 0.500
P 0.083 0.247 0.298
P 0.083 0.253 0.798
P 0.917 0.747 0.202
P 0.917 0.753 0.702
O 0.018 0.611 0.710
O 0.018 0.889 0.210
O 0.047 0.674 0.390
O 0.047 0.826 0.890
O 0.295 0.189 0.474
O 0.295 0.311 0.974
O 0.374 0.588 0.185
O 0.374 0.912 0.685
O 0.488 0.006 0.190
O 0.488 0.494 0.690
O 0.512 0.506 0.310
O 0.512 0.994 0.810
O 0.626 0.088 0.315
O 0.626 0.412 0.815
O 0.705 0.689 0.026
O 0.705 0.811 0.526
O 0.953 0.174 0.110
O 0.953 0.326 0.610
O 0.982 0.111 0.790
O 0.982 0.389 0.290

***

6.
DFT (PBE) results for a relaxed structure of NdSn4Pd15.

The volume is 16.91 Å³ per atom. Its space-group type is P4/mmm. The calculation puts the total energy at -5.488 eV per atom. The spin magnetization is 0.000 μB per formula unit.

Cell lengths 4.082, 4.082, 20.292 Å; angles 90.00, 90.00, 90.00 degrees
Fractional positions:
Nd 0.000 0.000 0.000
Sn 0.000 0.000 0.205
Sn 0.000 0.000 0.402
Sn 0.000 0.000 0.598
Sn 0.000 0.000 0.795
Pd 0.000 0.500 0.108
Pd 0.000 0.500 0.303
Pd 0.000 0.500 0.500
Pd 0.000 0.500 0.697
Pd 0.000 0.500 0.892
Pd 0.500 0.000 0.108
Pd 0.500 0.000 0.303
Pd 0.500 0.000 0.500
Pd 0.500 0.000 0.697
Pd 0.500 0.000 0.892
Pd 0.500 0.500 0.000
Pd 0.500 0.500 0.205
Pd 0.500 0.500 0.401
Pd 0.500 0.500 0.599
Pd 0.500 0.500 0.795

***

7.
DFT (PBE) results for a relaxed structure of LaSc4Cr.

The volume is 26.42 Å³ per atom. Its space-group type is F-43m. The calculation puts the total energy at -6.157 eV per atom. The spin magnetization is 4.599 μB per formula unit.

Cell lengths 6.075, 6.075, 6.075 Å; angles 60.00, 60.00, 60.00 degrees
Fractional positions:
La 0.000 0.000 0.000
Sc 0.127 0.624 0.624
Sc 0.624 0.127 0.624
Sc 0.624 0.624 0.127
Sc 0.624 0.624 0.624
Cr 0.250 0.250 0.250

***

8.
DFT (PBE) results for a relaxed structure of PrPd10Pt2.

The volume is 17.06 Å³ per atom. Its space-group type is Fmmm. The calculation puts the total energy at -5.546 eV per atom. The spin magnetization is 0.000 μB per formula unit.

Cell lengths 9.143, 6.991, 6.987 Å; angles 81.71, 49.16, 49.13 degrees
Fractional positions:
Pr 0.000 0.000 0.000
Pd 0.000 0.000 0.500
Pd 0.000 0.349 0.651
Pd 0.000 0.651 0.349
Pd 0.281 0.500 0.500
Pd 0.349 0.000 0.000
Pd 0.500 0.281 0.719
Pd 0.500 0.500 0.000
Pd 0.500 0.719 0.281
Pd 0.651 0.000 0.000
Pd 0.719 0.500 0.500
Pt 0.000 0.500 0.000
Pt 0.500 0.000 0.500

***

9.
DFT (PBE) results for a relaxed structure of Sc2PtRh.

The volume is 17.39 Å³ per atom. Its space-group type is Fm-3m. The calculation puts the total energy at -7.641 eV per atom. The spin magnetization is 0.000 μB per formula unit.

Cell lengths 6.529, 6.529, 6.529 Å; angles 90.00, 90.00, 90.00 degrees
Fractional positions:
Sc 0.250 0.250 0.250
Sc 0.250 0.250 0.750
Sc 0.250 0.750 0.250
Sc 0.250 0.750 0.750
Sc 0.750 0.250 0.250
Sc 0.750 0.250 0.750
Sc 0.750 0.750 0.250
Sc 0.750 0.750 0.750
Pt 0.000 0.000 0.000
Pt 0.000 0.500 0.500
Pt 0.500 0.000 0.500
Pt 0.500 0.500 0.000
Rh 0.000 0.000 0.500
Rh 0.000 0.500 0.000
Rh 0.500 0.000 0.000
Rh 0.500 0.500 0.500

***

10.
DFT (PBE) results for a relaxed structure of Ac3Sb2Ir.

The volume is 35.76 Å³ per atom. Its space-group type is C2/c. The value obtained for the uncorrected formation energy is -883.5 meV per atom. The spin magnetization is 0.000 μB per formula unit.

Cell lengths 8.057, 8.057, 9.238 Å; angles 106.66, 106.66, 48.94 degrees
Fractional positions:
Ac 0.047 0.953 0.750
Ac 0.350 0.352 0.926
Ac 0.352 0.350 0.426
Ac 0.648 0.650 0.574
Ac 0.650 0.648 0.074
Ac 0.953 0.047 0.250
Sb 0.172 0.174 0.587
Sb 0.174 0.172 0.087
Sb 0.826 0.828 0.913
Sb 0.828 0.826 0.413
Ir 0.489 0.511 0.750
Ir 0.511 0.489 0.250

***

11.
DFT (PBE) results for a relaxed structure of HgW2Au.

The volume is 17.74 Å³ per atom. Its space-group type is R3m. The calculation puts the total energy at -6.887 eV per atom. The spin magnetization is 0.000 μB per formula unit.

Cell lengths 2.870, 2.870, 29.845 Å; angles 90.00, 90.00, 120.00 degrees
Fractional positions:
Hg 0.000 0.000 0.000
Hg 0.333 0.667 0.667
Hg 0.667 0.333 0.333
W 0.000 0.000 0.247
W 0.000 0.000 0.500
W 0.333 0.667 0.167
W 0.333 0.667 0.914
W 0.667 0.333 0.580
W 0.667 0.333 0.834
Au 0.000 0.000 0.754
Au 0.333 0.667 0.421
Au 0.667 0.333 0.087

***

12.
DFT (PBE) results for a relaxed structure of Dy2Tm5Co4.

The volume is 23.23 Å³ per atom. Its space-group type is C2/m. The calculation puts the total energy at -5.483 eV per atom. The spin magnetization is 1.643 μB per formula unit.

Cell lengths 7.128, 7.128, 7.820 Å; angles 122.70, 122.70, 53.99 degrees
Fractional positions:
Dy 0.037 0.037 0.322
Dy 0.963 0.963 0.678
Tm 0.055 0.543 0.828
Tm 0.457 0.945 0.172
Tm 0.500 0.500 0.500
Tm 0.543 0.055 0.828
Tm 0.945 0.457 0.172
Co 0.297 0.297 0.519
Co 0.498 0.498 0.856
Co 0.502 0.502 0.144
Co 0.703 0.703 0.481